Material: TcPtCl
Method: DFT, PBE
State: optimized geometry

Unit cell a=6.0124 b=6.0124 c=6.0124 alpha=90.00 beta=90.00 gamma=90.00
Last column: nearest neighbours and their distance in Å.
Space group F-43m (No. 216)
Asymmetric unit:
Tc 0.0000 0.0000 0.0000  4 Cl 2.60, 4 Pt 2.60
Pt 0.2500 0.2500 0.7500  4 Tc 2.60
Cl 0.2500 0.2500 0.2500  4 Tc 2.60

Results
- energy relative to the elements, uncorrected (meV per atom) = 518
- VASP energy (eV/atom) = -5.566
- spin magnetization (μB per cell) = 0.00
- density of states at the Fermi level (states/eV per cell) = 3.98
- energy relative to the lowest polymorph listed for this composition (eV/atom) = 0.334



Material: TcPtCl2
Method: DFT, PBE
State: optimized geometry

Unit cell a=2.8690 b=5.5180 c=9.8447 alpha=90.00 beta=90.00 gamma=90.00
Last column: nearest neighbours and their distance in Å.
Space group Cmm2 (No. 35)
Asymmetric unit:
Tc 0.0000 0.0000 0.0000  2 Cl 2.39, 2 Pt 2.64
Pt 0.0000 0.5000 0.2256  2 Cl 2.54, 2 Tc 2.64
Cl 0.0000 0.0000 0.4390  2 Pt 2.54
Cl 0.0000 0.5000 0.8052  2 Tc 2.39

Results
- energy relative to the elements, uncorrected (meV per atom) = 251
- VASP energy (eV/atom) = -4.774
- spin magnetization (μB per cell) = 2.52
- density of states at the Fermi level (states/eV per cell) = 7.46
- energy relative to the lowest polymorph listed for this composition (eV/atom) = 0.364



Material: TcPt2Cl
Method: DFT, PBE
State: optimized geometry

Unit cell a=2.7719 b=4.3968 c=11.2073 alpha=90.00 beta=90.00 gamma=90.00
Last column: nearest neighbours and their distance in Å.
Space group Immm (No. 71)
Asymmetric unit:
Tc 0.0000 0.0000 0.0000  4 Cl 2.60, 4 Pt 2.73, 2 Tc 2.77
Pt 0.0000 0.5000 0.2896  2 Tc 2.73, 6 Pt 2.75-2.77
Cl 0.0000 0.0000 0.5000  4 Tc 2.60, 2 Cl 2.77

Results
- energy relative to the elements, uncorrected (meV per atom) = 431
- VASP energy (eV/atom) = -5.643
- spin magnetization (μB per cell) = 3.49
- density of states at the Fermi level (states/eV per cell) = 12.29
- energy relative to the lowest polymorph listed for this composition (eV/atom) = 0.363



Material: TcPtCl2
Method: DFT, PBE
State: optimized geometry

Unit cell a=3.0272 b=3.0272 c=25.2518 alpha=90.00 beta=90.00 gamma=120.00
Last column: nearest neighbours and their distance in Å.
Space group R-3m (No. 166, hexagonal axes)
Asymmetric unit:
Tc 0.0000 0.0000 0.0000  6 Cl 2.50
Pt 0.0000 0.0000 0.5000  2 Cl 2.42
Cl 0.0000 0.0000 0.4041  1 Pt 2.42, 3 Tc 2.50

Results
- energy relative to the elements, uncorrected (meV per atom) = 339
- VASP energy (eV/atom) = -4.686
- spin magnetization (μB per cell) = 0.00
- density of states at the Fermi level (states/eV per cell) = 9.90
- energy relative to the lowest polymorph listed for this composition (eV/atom) = 0.453



Material: TcPt2Cl
Method: DFT, PBE
State: optimized geometry

Unit cell a=2.7638 b=4.9057 c=9.9215 alpha=90.00 beta=90.00 gamma=90.00
Last column: nearest neighbours and their distance in Å.
Space group Imm2 (No. 44)
Asymmetric unit:
Tc 0.0000 0.0000 0.0000  2 Cl 2.45, 2 Pt 2.61
Pt 0.0000 0.0000 0.5192  4 Pt 2.76-2.90, 4 Tc 2.82, 2 Cl 3.06
Pt 0.0000 0.5000 0.2767  2 Tc 2.61, 4 Pt 2.76-2.90, 4 Cl 2.91
Cl 0.0000 0.5000 0.7040  2 Tc 2.45

Results
- energy relative to the elements, uncorrected (meV per atom) = 449
- VASP energy (eV/atom) = -5.625
- spin magnetization (μB per cell) = 2.20
- density of states at the Fermi level (states/eV per cell) = 6.41
- energy relative to the lowest polymorph listed for this composition (eV/atom) = 0.381



Material: TcPt3Cl
Method: DFT, PBE
State: optimized geometry

Unit cell a=4.5379 b=4.5379 c=4.5379 alpha=90.00 beta=90.00 gamma=90.00
Last column: nearest neighbours and their distance in Å.
Space group Pm-3m (No. 221)
Asymmetric unit:
Tc 0.0000 0.0000 0.0000  12 Pt 3.21
Pt 0.0000 0.5000 0.5000  2 Cl 2.27
Cl 0.5000 0.5000 0.5000  6 Pt 2.27

Results
- energy relative to the elements, uncorrected (meV per atom) = 1293
- VASP energy (eV/atom) = -4.774
- spin magnetization (μB per cell) = 3.94
- density of states at the Fermi level (states/eV per cell) = 1.64
- energy relative to the lowest polymorph listed for this composition (eV/atom) = 0.000



Material: TcPt2Cl
Method: DFT, PBE
State: optimized geometry

Unit cell a=2.8024 b=4.6068 c=5.0295 alpha=90.00 beta=90.00 gamma=90.00
Last column: nearest neighbours and their distance in Å.
Space group Pmmm (No. 47)
Asymmetric unit:
Tc 0.0000 0.0000 0.0000  4 Cl 2.70, 2 Tc 2.80, 4 Pt 2.88
Pt 0.0000 0.5000 0.5000  6 Pt 2.70-2.80, 4 Cl 2.88
Pt 0.5000 0.0000 0.5000  6 Pt 2.70-2.80, 4 Tc 2.88
Cl 0.5000 0.5000 0.0000  4 Tc 2.70, 2 Cl 2.80, 4 Pt 2.88

Results
- energy relative to the elements, uncorrected (meV per atom) = 593
- VASP energy (eV/atom) = -5.480
- spin magnetization (μB per cell) = 2.09
- density of states at the Fermi level (states/eV per cell) = 4.87
- energy relative to the lowest polymorph listed for this composition (eV/atom) = 0.525



Material: TcPt2Cl
Method: DFT, PBE
State: optimized geometry

Unit cell a=4.9051 b=4.9051 c=2.7263 alpha=90.00 beta=90.00 gamma=90.00
Last column: nearest neighbours and their distance in Å.
Space group P4/mmm (No. 123)
Asymmetric unit:
Tc 0.0000 0.0000 0.0000  2 Tc 2.73, 8 Pt 2.81
Pt 0.0000 0.5000 0.5000  2 Pt 2.73, 4 Cl 2.81, 4 Tc 2.81
Cl 0.5000 0.5000 0.0000  2 Cl 2.73, 8 Pt 2.81

Results
- energy relative to the elements, uncorrected (meV per atom) = 731
- VASP energy (eV/atom) = -5.343
- spin magnetization (μB per cell) = 1.47
- density of states at the Fermi level (states/eV per cell) = 4.20
- energy relative to the lowest polymorph listed for this composition (eV/atom) = 0.663



no.,calculated volume (Å³/cell)
1,217.3
2,155.9
3,136.6
4,200.4
5,134.5
6,93.4
7,64.9
8,65.6